No. 1
Entry from the Alexandria database: a relaxed structure of BaHg2Ru (PBE).

Values from the calculation:
Space group   C2/m
Uncorrected energy   -11.28 eV per cell
Fermi-level density of states   4.45 states/eV per cell

Unit cell a=4.7262 b=4.7262 c=6.4224 alpha=68.48 beta=68.48 gamma=59.94
Closest atoms and distances in Å follow each position.
Fractional positions:
Ba1 0.2500 0.2500 0.2500  8 Hg 3.51-3.60
Hg1 0.0437 0.0437 0.8690  3 Ru 2.81-2.82, 3 Hg 3.06
Hg2 0.4563 0.4563 0.6310  3 Ru 2.81-2.82, 3 Hg 3.06
Ru1 0.7500 0.7500 0.7500  6 Hg 2.81-2.82


No. 2
Entry from the Alexandria database: a relaxed structure of HfNbPbI2 (PBE).

Values from the calculation:
Space group   P4/mmm
Formation energy without anion corrections   992 meV/atom
Fermi-level density of states   6.57 states/eV per cell

Unit cell a=5.3768 b=5.7767 c=5.3768 alpha=90.00 beta=90.00 gamma=90.00
Closest atoms and distances in Å follow each position.
Fractional positions:
Pb1 0.0000 0.5000 0.0000  2 Nb 2.89
I1 0.0000 0.0000 0.5000  2 Nb 2.69
I2 0.5000 0.0000 0.0000  2 Nb 2.69
Nb1 0.0000 0.0000 0.0000  4 I 2.69, 2 Pb 2.89
Hf1 0.5000 0.5000 0.5000  4 Pb 3.80, 8 I 3.95


No. 3
Entry from the Alexandria database: a relaxed structure of NdSc2Pb2 (PBE).

Values from the calculation:
Space group   I4/mmm
Uncorrected energy   -26.61 eV per cell
Fermi-level density of states   5.25 states/eV per cell

Unit cell a=4.5749 b=4.5751 c=7.4844 alpha=107.78 beta=107.80 gamma=90.00
Closest atoms and distances in Å follow each position.
Fractional positions:
Nd1 0.0000 0.0000 0.0000  8 Pb 3.56
Sc1 0.7500 0.2497 0.5000  4 Pb 2.97, 4 Sc 3.23-3.24
Sc2 0.2500 0.7503 0.5000  4 Pb 2.97, 4 Sc 3.23-3.24
Pb1 0.6098 0.6099 0.2196  1 Pb 2.97, 4 Sc 2.97
Pb2 0.3902 0.3901 0.7804  1 Pb 2.97, 4 Sc 2.97


No. 4
Entry from the Alexandria database: a relaxed structure of Ac4YPa3N8 (PBE).

Values from the calculation:
Space group   R-3m
Formation energy without anion corrections   -1428 meV/atom
Fermi-level density of states   6.64 states/eV per cell

Unit cell a=7.2440 b=7.4885 c=7.2439 alpha=118.92 beta=120.00 gamma=90.00
Closest atoms and distances in Å follow each position.
Fractional positions:
Ac1 0.5000 0.0000 0.0000  6 N 2.77
Ac2 0.5000 0.0000 0.5000  6 N 2.85-2.87
Ac3 0.0000 0.0000 0.0000  6 N 2.85-2.87
Ac4 0.0000 0.0000 0.5000  6 N 2.85-2.87
Y1 0.0000 0.5000 0.0000  6 N 2.49
Pa1 0.5000 0.5000 0.0000  6 N 2.37-2.40
Pa2 0.5000 0.5000 0.5000  6 N 2.37-2.40
Pa3 0.0000 0.5000 0.5000  6 N 2.37-2.40
N1 0.2380 0.6919 0.9540  2 Pa 2.37, 1 Y 2.49
N2 0.2379 0.6919 0.4758  2 Pa 2.37, 1 Y 2.49
N3 0.2706 0.3120 0.5413  3 Pa 2.40
N4 0.7160 0.6919 0.9540  2 Pa 2.37, 1 Y 2.49
N5 0.2840 0.3081 0.0460  2 Pa 2.37, 1 Y 2.49
N6 0.7294 0.6880 0.4587  3 Pa 2.40
N7 0.7621 0.3081 0.5242  2 Pa 2.37, 1 Y 2.49
N8 0.7620 0.3081 0.0460  2 Pa 2.37, 1 Y 2.49


No. 5
Entry from the Alexandria database: a relaxed structure of UPRh (PBE).

Values from the calculation:
Space group   P2_1/m
Uncorrected energy   -159.89 eV per cell
Fermi-level density of states   26.73 states/eV per cell

Unit cell a=4.1181 b=6.7357 c=11.1719 alpha=90.94 beta=90.00 gamma=90.00
Closest atoms and distances in Å follow each position.
Fractional positions:
U1 0.7500 0.5082 0.3715  5 P 2.88-2.95, 5 Rh 2.91-3.03
U2 0.2500 0.0121 0.7002  5 P 2.77-2.89, 3 Rh 2.96-3.04
U3 0.7500 0.9879 0.2998  5 P 2.77-2.89, 3 Rh 2.96-3.04
U4 0.7500 0.6575 0.0673  5 P 2.84-2.92, 4 Rh 2.98-3.10
U5 0.2500 0.4918 0.6285  5 P 2.88-2.95, 5 Rh 2.91-3.03
U6 0.2500 0.3425 0.9327  5 P 2.84-2.92, 4 Rh 2.98-3.10
P1 0.2500 0.7710 0.8985  5 Rh 2.52-2.68, 1 U 2.77
P2 0.7500 0.2913 0.7599  3 Rh 2.45-2.49
P3 0.7500 0.7866 0.5778  4 Rh 2.48-2.75
P4 0.7500 0.2290 0.1015  5 Rh 2.52-2.68, 1 U 2.77
P5 0.2500 0.2134 0.4222  4 Rh 2.48-2.75
P6 0.2500 0.7087 0.2401  3 Rh 2.45-2.49
Rh1 0.2500 0.9757 0.0916  4 P 2.47-2.68
Rh2 0.2500 0.8099 0.4552  4 P 2.48-2.75
Rh3 0.7500 0.6519 0.7894  4 P 2.45-2.55
Rh4 0.7500 0.1901 0.5448  4 P 2.48-2.75
Rh5 0.2500 0.3481 0.2106  4 P 2.45-2.55
Rh6 0.7500 0.0243 0.9084  4 P 2.47-2.68


No. 6
Entry from the Alexandria database: a relaxed structure of Tb4Ho3Th5 (PBE).

Values from the calculation:
Space group   C2/m
Uncorrected energy   -63.00 eV per cell
Fermi-level density of states   15.62 states/eV per cell

Unit cell a=5.8136 b=9.9365 c=9.2044 alpha=107.46 beta=71.59 gamma=72.99
Closest atoms and distances in Å follow each position.
Fractional positions:
Tb1 0.8103 0.5133 0.8662  2 Ho 3.15-3.21, 1 Th 3.16
Tb2 0.2079 0.8774 0.7068  6 Th 3.24-3.55, 1 Ho 3.45
Tb3 0.7921 0.1226 0.2932  6 Th 3.24-3.55, 1 Ho 3.45
Tb4 0.1897 0.4867 0.1338  2 Ho 3.15-3.21, 1 Th 3.16
Ho1 0.5017 0.7276 0.2691  4 Tb 3.21-3.57, 4 Th 3.35-3.54
Ho2 0.0000 0.5000 0.5000  2 Th 2.91, 2 Tb 3.15
Ho3 0.4983 0.2724 0.7309  4 Tb 3.21-3.57, 4 Th 3.35-3.54
Th1 0.1161 0.7554 0.0124  3 Tb 3.16-3.34
Th2 0.5000 0.5000 0.5000  2 Ho 2.91, 2 Tb 3.24
Th3 0.1677 0.1330 0.5315  4 Ho 3.35-3.61, 4 Tb 3.39-3.55, 3 Th 3.65-3.73
Th4 0.8323 0.8670 0.4685  4 Ho 3.35-3.61, 4 Tb 3.39-3.55, 3 Th 3.65-3.73
Th5 0.8839 0.2446 0.9876  3 Tb 3.16-3.34


No. 7
Entry from the Alexandria database: a relaxed structure of MnBe2Hg (PBE).

Values from the calculation:
Space group   F-43m
Uncorrected energy   -15.12 eV per cell
Fermi-level density of states   1.56 states/eV per cell

Unit cell a=4.2472 b=4.2472 c=4.2472 alpha=60.00 beta=60.00 gamma=60.00
Closest atoms and distances in Å follow each position.
Fractional positions:
Be1 0.0000 0.0000 0.0000  4 Mn 2.60, 4 Be 2.60
Be2 0.2500 0.2500 0.2500  4 Hg 2.60, 4 Be 2.60
Mn1 0.7500 0.7500 0.7500  4 Hg 2.60, 4 Be 2.60
Hg1 0.5000 0.5000 0.5000  4 Mn 2.60, 4 Be 2.60


No. 8
Entry from the Alexandria database: a relaxed structure of ErHfNiRh (PBE).

Values from the calculation:
Space group   F-43m
Uncorrected energy   -30.08 eV per cell
Fermi-level density of states   4.90 states/eV per cell

Unit cell a=4.6746 b=4.6746 c=4.6746 alpha=60.00 beta=60.00 gamma=60.00
Closest atoms and distances in Å follow each position.
Fractional positions:
Ni1 0.2500 0.2500 0.2500  4 Hf 2.86, 4 Er 2.86
Rh1 0.7500 0.7500 0.7500  4 Hf 2.86, 4 Er 2.86
Hf1 0.5000 0.5000 0.5000  4 Ni 2.86, 4 Rh 2.86
Er1 0.0000 0.0000 0.0000  4 Rh 2.86, 4 Ni 2.86